# Sm12MgTl4O3

Sm12MgTl4O3 after structural relaxation (GGA-PBE, Alexandria).

```
Sm12MgTl4O3
1.0
8.814 0.000 0.000
-2.938 8.310 0.000
-2.938 -4.155 7.197
Tl Sm O Mg
4 12 3 1
Cartesian
-1.469 4.155 0.000 Tl
1.469 2.078 3.599 Tl
-1.469 -2.078 3.599 Tl
4.407 0.000 0.000 Tl
-1.596 1.129 1.955 Sm
1.469 -1.039 5.398 Sm
-4.280 3.026 5.242 Sm
1.596 -1.129 1.955 Sm
4.407 3.116 1.799 Sm
-1.469 1.039 5.398 Sm
4.407 0.000 3.599 Sm
4.280 6.053 0.000 Sm
4.280 -3.026 5.242 Sm
1.469 5.194 1.799 Sm
-1.469 4.155 3.599 Sm
1.596 2.258 0.000 Sm
2.938 -2.078 3.599 O
2.938 4.155 0.000 O
-2.938 2.078 3.599 O
0.000 0.000 0.000 Mg
```

Uncorrected energy in eV per atom: -4.97
Crystal system: cubic
Symmetry: Im-3m, No. 229

=====

# Mg3SnO

Mg3SnO after structural relaxation (GGA-PBE, Alexandria).

```
Mg3SnO
1.0
-1.831 3.187 3.690
-4.445 0.529 -2.663
-2.004 -4.085 2.534
Mg O Sn
3 1 1
Cartesian
-1.002 -2.043 1.267 Mg
-2.222 0.264 -1.331 Mg
-0.916 1.593 1.845 Mg
-4.140 -0.185 1.781 O
0.000 0.000 0.000 Sn
```

Distance to the lowest polymorph of the same formula in meV per atom: 1426
Crystal system: cubic
Symmetry: Pm-3m, No. 221

=====

# MgSn2O2

MgSn2O2 after structural relaxation (GGA-PBE, Alexandria).

```
MgSn2O2
1.0
6.084 0.000 0.000
0.000 6.084 0.000
0.000 0.000 4.492
Sn O Mg
4 4 2
Cartesian
4.166 4.960 2.246 Sn
1.124 4.166 2.246 Sn
4.960 1.918 2.246 Sn
1.918 1.124 2.246 Sn
4.427 4.699 0.000 O
1.385 4.427 0.000 O
4.699 1.657 0.000 O
1.657 1.385 0.000 O
3.042 3.042 0.000 Mg
0.000 0.000 0.000 Mg
```

Distance to the lowest polymorph of the same formula in meV per atom: 0
Crystal system: tetragonal
Symmetry: P4/mbm, No. 127

=====

# MgSn2O4

MgSn2O4 after structural relaxation (GGA-PBE, Alexandria).

```
MgSn2O4
1.0
-3.201 3.325 4.767
3.201 -3.325 4.767
3.201 3.325 -4.767
Sn O Mg
4 8 2
Cartesian
-1.601 1.662 2.383 Sn
0.000 0.000 4.767 Sn
1.601 1.662 2.383 Sn
3.201 0.000 0.000 Sn
1.464 1.662 4.835 O
0.000 3.441 2.695 O
4.665 1.662 -0.069 O
3.201 3.208 -2.072 O
0.000 0.117 6.839 O
-1.464 1.662 4.835 O
3.201 -0.117 2.072 O
1.737 1.662 -0.069 O
0.000 4.987 1.390 Mg
3.201 -1.662 3.376 Mg
```

Distance to the lowest polymorph of the same formula in meV per atom: 182
Crystal system: orthorhombic
Symmetry: Imma, No. 74

=====

# MgSnO3

MgSnO3 after structural relaxation (GGA-PBE, Alexandria).

```
MgSnO3
1.0
5.332 0.000 0.000
2.666 4.617 0.000
2.666 1.539 4.763
O Mg Sn
6 2 2
Cartesian
3.445 3.220 3.558 O
7.218 2.936 1.205 O
6.152 1.374 3.559 O
4.511 4.783 1.205 O
4.266 1.515 1.204 O
6.398 4.641 3.559 O
5.332 3.078 0.334 Mg
5.332 3.078 4.429 Mg
2.666 1.539 2.656 Sn
7.997 4.617 2.107 Sn
```

Uncorrected energy in eV per atom: -6.18
Crystal system: trigonal
Symmetry: R-3, No. 148

=====

# MgSn2O4

MgSn2O4 after structural relaxation (GGA-PBE, Alexandria).

```
MgSn2O4
1.0
1.621 6.588 0.029
-1.621 6.588 0.029
0.000 5.128 9.551
O Mg Sn
8 2 4
Cartesian
0.000 11.943 3.574 O
0.000 7.235 9.264 O
0.000 11.069 0.345 O
0.000 3.131 2.232 O
0.000 7.234 2.215 O
0.000 11.070 7.394 O
0.000 6.361 6.035 O
0.000 15.173 7.377 O
0.000 5.150 2.378 Mg
0.000 13.154 7.231 Mg
0.000 13.997 3.996 Sn
0.000 8.994 1.189 Sn
0.000 9.310 8.420 Sn
0.000 4.307 5.613 Sn
```

Distance to the lowest polymorph of the same formula in meV per atom: 47
Crystal system: monoclinic
Symmetry: C2/m, No. 12

=====

# Mg3Sn2O7

Mg3Sn2O7 after structural relaxation (GGA-PBE, Alexandria).

```
Mg3Sn2O7
1.0
-4.093 -8.688 1.360
7.351 5.105 -3.739
2.784 -0.578 4.683
O Sn Mg
14 4 6
Cartesian
7.655 1.334 0.883 O
4.180 0.106 0.303 O
1.033 -3.688 1.706 O
3.701 -4.659 0.956 O
0.964 -6.731 3.864 O
5.466 -2.531 0.170 O
1.407 0.691 -0.223 O
3.052 -1.731 2.168 O
5.479 2.486 -0.885 O
2.459 -2.320 -0.757 O
-0.358 -1.436 0.563 O
2.880 -4.478 3.714 O
-1.213 -5.578 2.096 O
6.028 -0.685 2.312 O
4.090 0.137 2.363 Sn
1.674 -2.774 3.440 Sn
4.342 -1.382 -1.178 Sn
1.926 -4.293 -0.102 Sn
4.576 -3.093 1.904 Mg
-1.010 -3.705 1.355 Mg
3.576 1.822 -0.689 Mg
1.639 -1.105 0.691 Mg
6.713 -0.385 0.378 Mg
2.126 -5.913 2.422 Mg
```

Uncorrected energy in eV per atom: -6.09
Crystal system: orthorhombic
Symmetry: Cmc2_1, No. 36

=====

# Mg3SnO

Mg3SnO after structural relaxation (GGA-PBE, Alexandria).

```
Mg3SnO
1.0
-2.643 -0.710 3.436
0.131 -4.319 -0.792
3.506 -0.374 2.620
O Sn Mg
1 1 3
Cartesian
0.000 0.000 0.000 O
0.497 -2.702 2.632 Sn
0.065 -2.159 -0.396 Mg
-1.322 -0.355 1.718 Mg
1.753 -0.187 1.310 Mg
```

Distance to the lowest polymorph of the same formula in meV per atom: 0
Crystal system: cubic
Symmetry: Pm-3m, No. 221

=====

Number 1: density 8.5 g cm⁻³. Number 2: density 2.4 g cm⁻³. Number 3: density 5.9 g cm⁻³. Number 4: density 5.3 g cm⁻³. Number 5: density 5.4 g cm⁻³. Number 6: density 5.3 g cm⁻³. Number 7: density 5.1 g cm⁻³. Number 8: density 4.1 g cm⁻³.